(P)
Entry from Alexandria: crystalline Sr2YRh at its relaxed geometry (PBE).

a = 5.113 Å, b = 5.113 Å, c = 8.656 Å
α = 74.07°, β = 74.07°, γ = 45.06°
Atoms (fractional coordinates):
Rh 0.271 0.271 0.375
Y 0.563 0.563 0.375
Sr 0.913 0.913 0.078
Sr 0.752 0.752 0.671

Calculated values
total magnetic moment: 0.00 μB/cell
space-group type: No. 8


(Q)
Entry from Alexandria: crystalline Sr2YRh at its relaxed geometry (PBE).

a = 6.501 Å, b = 6.501 Å, c = 6.501 Å
α = 139.08°, β = 139.08°, γ = 59.25°
Atoms (fractional coordinates):
Rh 0.750 0.250 0.500
Y 0.250 0.750 0.500
Sr 0.500 0.500 0.000
Sr 0.000 0.000 0.000

Calculated values
total magnetic moment: 0.00 μB/cell
space-group type: No. 139


The structure with the most favorable energy is (P); the runner-up is 384 meV per atom above it.


(P)
Entry from Alexandria: crystalline Sr2YRh at its relaxed geometry (PBE).

a = 3.844 Å, b = 4.128 Å, c = 9.281 Å
α = 77.20°, β = 90.00°, γ = 90.00°
Atoms (fractional coordinates):
Sr 0.000 0.844 0.937
Rh 0.500 0.986 0.653
Y 0.000 0.512 0.601
Sr 0.500 0.158 0.309

Calculated values
total magnetic moment: 0.00 μB/cell
space-group type: No. 6


(Q)
Entry from Alexandria: crystalline Sr2YRh at its relaxed geometry (PBE).

a = 5.526 Å, b = 5.526 Å, c = 5.526 Å
α = 60.00°, β = 60.00°, γ = 60.00°
Atoms (fractional coordinates):
Rh 0.500 0.500 0.500
Y 0.000 0.000 0.000
Sr 0.250 0.250 0.250
Sr 0.750 0.750 0.750

Calculated values
total magnetic moment: 0.00 μB/cell
space-group type: No. 225


The structure with the most favorable energy is (P); the runner-up is 625 meV per atom above it.


(P)
Entry from Alexandria: crystalline SrY3Rh at its relaxed geometry (PBE).

a = 5.343 Å, b = 5.343 Å, c = 5.343 Å
α = 90.00°, β = 90.00°, γ = 90.00°
Atoms (fractional coordinates):
Y 0.000 0.000 0.500
Sr 0.000 0.000 0.000
Rh 0.500 0.500 0.500
Y 0.500 0.000 0.000
Y 0.000 0.500 0.000

Calculated values
total magnetic moment: 0.00 μB/cell
space-group type: No. 221


(Q)
Entry from Alexandria: crystalline SrY3Rh at its relaxed geometry (PBE).

a = 5.523 Å, b = 5.523 Å, c = 5.523 Å
α = 90.00°, β = 90.00°, γ = 90.00°
Atoms (fractional coordinates):
Y 0.000 0.500 0.000
Sr 0.500 0.500 0.500
Y 0.500 0.000 0.000
Y 0.000 0.000 0.500
Rh 0.000 0.000 0.000

Calculated values
total magnetic moment: 0.00 μB/cell
space-group type: No. 221


The structure with the most favorable energy is (Q); the runner-up is 1824 meV per atom above it.


(P)
Entry from Alexandria: crystalline SrY2Rh2 at its relaxed geometry (PBE).

a = 5.063 Å, b = 5.063 Å, c = 6.620 Å
α = 67.52°, β = 67.52°, γ = 90.00°
Atoms (fractional coordinates):
Y 0.664 0.664 0.672
Rh 0.250 0.750 0.500
Sr 0.000 0.000 0.000
Rh 0.750 0.250 0.500
Y 0.336 0.336 0.328

Calculated values
total magnetic moment: 0.00 μB/cell
space-group type: No. 139


(Q)
Entry from Alexandria: crystalline SrY2Rh2 at its relaxed geometry (PBE).

a = 8.248 Å, b = 8.248 Å, c = 3.561 Å
α = 90.00°, β = 90.00°, γ = 90.00°
Atoms (fractional coordinates):
Y 0.645 0.855 0.500
Sr 0.000 0.000 0.000
Y 0.855 0.355 0.500
Rh 0.644 0.144 0.000
Y 0.355 0.145 0.500
Rh 0.356 0.856 0.000
Rh 0.856 0.644 0.000
Y 0.145 0.645 0.500
Sr 0.500 0.500 0.000
Rh 0.144 0.356 0.000

Calculated values
total magnetic moment: 0.00 μB/cell
space-group type: No. 127


The structure with the most favorable energy is (Q); the runner-up is 229 meV per atom above it.


(P)
Entry from Alexandria: crystalline Sr2Zn3Rh at its relaxed geometry (PBE).

a = 4.662 Å, b = 5.457 Å, c = 6.812 Å
α = 113.61°, β = 110.01°, γ = 90.00°
Atoms (fractional coordinates):
Zn 0.000 0.000 0.000
Zn 0.603 0.603 0.206
Sr 0.709 0.209 0.417
Zn 0.397 0.397 0.794
Rh 0.000 0.500 0.000
Sr 0.291 0.791 0.583

Calculated values
total magnetic moment: 0.00 μB/cell
space-group type: No. 71


(Q)
Entry from Alexandria: crystalline Sr2Zn3Rh at its relaxed geometry (PBE).

a = 4.335 Å, b = 4.442 Å, c = 7.687 Å
α = 90.00°, β = 90.00°, γ = 90.00°
Atoms (fractional coordinates):
Zn 0.500 0.500 0.658
Zn 0.500 0.000 0.173
Zn 0.500 0.000 0.832
Sr 0.000 0.000 0.485
Rh 0.500 0.500 0.330
Sr 0.000 0.500 0.022

Calculated values
total magnetic moment: 0.00 μB/cell
space-group type: No. 25


The structure with the most favorable energy is (Q); the runner-up is 181 meV per atom above it.


(P)
Entry from Alexandria: crystalline SrZr2Rh2 at its relaxed geometry (PBE).

a = 8.216 Å, b = 8.216 Å, c = 3.092 Å
α = 90.00°, β = 90.00°, γ = 90.00°
Atoms (fractional coordinates):
Sr 0.500 0.500 0.000
Zr 0.639 0.139 0.000
Zr 0.139 0.361 0.000
Rh 0.151 0.651 0.500
Rh 0.849 0.349 0.500
Rh 0.349 0.151 0.500
Rh 0.651 0.849 0.500
Zr 0.861 0.639 0.000
Zr 0.361 0.861 0.000
Sr 0.000 0.000 0.000

Calculated values
total magnetic moment: 0.00 μB/cell
space-group type: No. 127


(Q)
Entry from Alexandria: crystalline SrZr2Rh2 at its relaxed geometry (PBE).

a = 4.853 Å, b = 4.853 Å, c = 6.306 Å
α = 67.37°, β = 67.37°, γ = 90.00°
Last column: magnetic moment on the atom in μB.
Atoms (fractional coordinates):
Rh 0.750 0.250 0.500  -0.01
Sr 0.000 0.000 0.000  0.02
Rh 0.250 0.750 0.500  -0.01
Zr 0.653 0.653 0.693  0.35
Zr 0.347 0.347 0.307  0.35

Calculated values
total magnetic moment: 1.25 μB/cell
space-group type: No. 139


The structure with the most favorable energy is (P); the runner-up is 147 meV per atom above it.


(P)
Entry from Alexandria: crystalline Sr2ZrRh at its relaxed geometry (PBE).

a = 4.968 Å, b = 3.525 Å, c = 6.682 Å
α = 68.48°, β = 90.00°, γ = 90.00°
Atoms (fractional coordinates):
Rh 0.500 0.750 0.750
Sr 0.000 0.575 0.521
Zr 0.500 0.250 0.250
Sr 0.000 0.925 0.979

Calculated values
total magnetic moment: 0.00 μB/cell
space-group type: No. 10


(Q)
Entry from Alexandria: crystalline Sr2ZrRh at its relaxed geometry (PBE).

a = 10.624 Å, b = 10.624 Å, c = 10.624 Å
α = 19.44°, β = 19.44°, γ = 19.44°
Last column: magnetic moment on the atom in μB.
Atoms (fractional coordinates):
Sr 0.485 0.485 0.485  0.03
Sr 0.015 0.015 0.015  0.03
Zr 0.250 0.250 0.250  0.69
Rh 0.750 0.750 0.750  0.07

Calculated values
total magnetic moment: 1.51 μB/cell
space-group type: No. 166


The structure with the most favorable energy is (Q); the runner-up is 18 meV per atom above it.


(P)
Entry from Alexandria: crystalline Sr2ZrRh at its relaxed geometry (PBE).

a = 3.469 Å, b = 4.865 Å, c = 6.435 Å
α = 90.00°, β = 90.00°, γ = 90.00°
Atoms (fractional coordinates):
Zr 0.500 0.500 0.250
Sr 0.000 0.000 0.982
Rh 0.500 0.500 0.750
Sr 0.000 0.000 0.518

Calculated values
total magnetic moment: 0.00 μB/cell
space-group type: No. 47


(Q)
Entry from Alexandria: crystalline Sr2ZrRh at its relaxed geometry (PBE).

a = 6.611 Å, b = 6.611 Å, c = 6.611 Å
α = 147.13°, β = 127.61°, γ = 63.25°
Atoms (fractional coordinates):
Sr 0.048 0.048 0.000
Rh 0.279 0.779 0.500
Zr 0.430 0.430 0.000
Sr 0.743 0.243 0.500

Calculated values
total magnetic moment: 0.00 μB/cell
space-group type: No. 44


The structure with the most favorable energy is (Q); the runner-up is 476 meV per atom above it.


(P)
Entry from Alexandria: crystalline Ta3Rh2 at its relaxed geometry (PBE).

a = 8.315 Å, b = 7.204 Å, c = 5.502 Å
α = 80.54°, β = 58.71°, γ = 40.74°
Atoms (fractional coordinates):
Ta 0.500 0.792 0.876
Rh 0.896 0.208 0.544
Ta 0.374 0.418 0.750
Ta 0.458 0.750 0.418
Rh 0.353 0.544 0.208
Ta 0.832 0.876 0.792
Ta 0.919 0.081 0.081
Rh 0.706 0.897 0.354
Ta 0.169 0.331 0.331
Rh 0.042 0.354 0.897

Calculated values
total magnetic moment: 0.00 μB/cell
space-group type: No. 43


(Q)
Entry from Alexandria: crystalline Ta3Rh2 at its relaxed geometry (PBE).

a = 9.887 Å, b = 9.887 Å, c = 5.113 Å
α = 90.00°, β = 90.00°, γ = 90.00°
Atoms (fractional coordinates):
Rh 0.429 0.767 0.500
Rh 0.071 0.267 0.000
Ta 0.960 0.637 0.500
Rh 0.767 0.429 0.500
Ta 0.182 0.818 0.749
Rh 0.929 0.733 0.000
Ta 0.318 0.318 0.751
Ta 0.460 0.863 0.000
Ta 0.040 0.363 0.500
Ta 0.318 0.318 0.249
Ta 0.363 0.040 0.500
Ta 0.137 0.540 0.000
Rh 0.571 0.233 0.500
Rh 0.402 0.598 0.000
Ta 0.818 0.182 0.749
Rh 0.598 0.402 0.000
Ta 0.637 0.960 0.500
Ta 0.000 0.000 0.000
Rh 0.733 0.929 0.000
Rh 0.098 0.098 0.500
Ta 0.863 0.460 0.000
Ta 0.818 0.182 0.251
Rh 0.233 0.571 0.500
Ta 0.182 0.818 0.251
Ta 0.682 0.682 0.249
Ta 0.540 0.137 0.000
Ta 0.682 0.682 0.751
Ta 0.500 0.500 0.500
Rh 0.902 0.902 0.500
Rh 0.267 0.071 0.000

Calculated values
total magnetic moment: 0.00 μB/cell
space-group type: No. 136


The structure with the most favorable energy is (Q); the runner-up is 100 meV per atom above it.


(P)
Entry from Alexandria: crystalline Ta4Rh5 at its relaxed geometry (PBE).

a = 7.820 Å, b = 7.820 Å, c = 5.421 Å
α = 90.00°, β = 90.00°, γ = 60.00°
Atoms (fractional coordinates):
Rh 0.000 0.663 0.750
Rh 0.333 0.333 0.000
Ta 0.000 0.337 0.750
Ta 0.000 0.000 0.500
Rh 0.337 0.000 0.750
Ta 0.337 0.663 0.750
Rh 0.663 0.000 0.250
Rh 0.663 0.337 0.750
Ta 0.663 0.000 0.750
Ta 0.000 0.000 0.000
Rh 0.337 0.663 0.250
Ta 0.663 0.337 0.250
Rh 0.000 0.337 0.250
Rh 0.667 0.667 0.000
Ta 0.000 0.663 0.250
Rh 0.333 0.333 0.500
Rh 0.667 0.667 0.500
Ta 0.337 0.000 0.250

Calculated values
total magnetic moment: 0.00 μB/cell
space-group type: No. 193


(Q)
Entry from Alexandria: crystalline Ta4Rh5 at its relaxed geometry (PBE).

a = 8.474 Å, b = 8.474 Å, c = 6.313 Å
α = 47.84°, β = 47.84°, γ = 90.00°
Atoms (fractional coordinates):
Rh 0.334 0.334 0.000
Ta 0.000 0.686 0.000
Rh 0.000 0.000 0.000
Rh 0.666 0.334 0.000
Rh 0.334 0.666 0.000
Rh 0.666 0.666 0.000
Ta 0.686 0.000 0.000
Ta 0.000 0.314 0.000
Ta 0.314 0.000 0.000

Calculated values
total magnetic moment: 0.00 μB/cell
space-group type: No. 139


The structure with the most favorable energy is (Q); the runner-up is 93 meV per atom above it.